## Na2IrN (GGA-PBEsol)

Data for a geometry-optimized Na2IrN structure.

Uncorrected energy: -5.345 eV per atom
Formation energy (no corrections): -6 kJ per mole of atoms
Size of the total moment: 0.00 μB per cell
Density of states at the Fermi level: 0.17 states/eV/atom
Space-group type: I-42d

Unit cell a=3.7025 b=7.3362 c=7.3362 alpha=86.35 beta=75.38 gamma=75.38
Element x y z (fractional)
Na 0.8750 0.7488 0.7512
Na 0.3750 0.2512 0.2488
Na 0.3738 0.7512 0.2512
Na 0.3762 0.2488 0.7488
Ir 0.0000 0.0000 0.0000
Ir 0.7500 0.5000 0.5000
N 0.5000 0.0000 0.0000
N 0.2500 0.5000 0.5000